The following is a DFT calculation (PBE) of crystalline MgZnRu at its relaxed geometry.

The structure belongs to space group Fmm2 (No. 42); the cell edges are 3.1734, 4.5459 and 13.0370 Å and the angles 90.00°, 90.00° and 90.00°. The inequivalent atoms are Mg at (0.0000, 0.0000, 0.0000), Zn at (0.0000, 0.0000, 0.6810) and Ru at (0.0000, 0.0000, 0.3368).

The calculation puts the density of states at the Fermi level at 0.773 states/eV/atom. The total energy is -3.925 eV per atom. The spin magnetization is 0.001 μB per atom.